1.
# NdSm6Er5

A relaxed structure of NdSm6Er5 (PBE, Alexandria via LeMat-Bulk).

Geometry as POSCAR:
```
NdSm6Er5
1.0
4.964 0.000 1.020
2.483 7.607 0.510
-2.033 0.000 9.897
Nd Sm Er
1 6 5
Cartesian
0.000 0.000 0.000
1.971 5.067 3.000
0.961 5.067 7.916
0.961 0.000 7.910
1.969 0.000 3.007
4.453 2.540 3.510
3.443 2.540 8.426
1.466 2.535 5.458
4.964 5.051 1.020
-1.017 0.000 4.949
2.482 2.556 0.510
3.948 5.072 5.968
```

Properties
space-group type: No. 65
final energy: -55.7 eV per formula unit
energy relative to the elements: 0.019 eV/atom
density of states at the Fermi level: 16.69 states/eV per cell

2.
# NdSmEr

A relaxed structure of NdSmEr (PBE, Alexandria via LeMat-Bulk).

Geometry as POSCAR:
```
NdSmEr
1.0
-1.312 -6.414 2.249
-0.343 -5.245 -4.505
13.959 -6.269 0.917
Sm Nd Er
6 6 6
Cartesian
9.773 -13.536 -0.942
2.531 -4.393 -0.398
12.264 -5.991 0.722
0.040 -11.938 -2.062
5.985 -4.960 0.000
6.319 -12.969 -1.340
4.170 -7.188 -2.587
3.640 -7.827 1.107
3.452 -10.696 -1.357
8.134 -10.740 1.247
8.664 -10.101 -2.447
8.852 -7.232 0.017
10.870 -9.739 -0.127
1.434 -8.189 -1.213
-0.172 -2.622 -2.253
-0.656 -3.207 1.124
-0.827 -5.830 -1.128
6.152 -8.964 -0.670
```

Properties
space-group type: No. 166
final energy: -13.3 eV per formula unit
energy relative to the lowest polymorph listed for this composition: 237 meV per atom
energy relative to the elements: 0.255 eV/atom
density of states at the Fermi level: 32.51 states/eV per cell

3.
# Nd4Sm5Er3

A relaxed structure of Nd4Sm5Er3 (PBE, Alexandria via LeMat-Bulk).

Geometry as POSCAR:
```
Nd4Sm5Er3
1.0
5.973 0.000 0.000
2.987 7.680 -2.782
2.987 -0.835 9.269
Nd Sm Er
4 5 3
Cartesian
5.973 1.665 -0.092
2.987 -0.089 5.599
8.960 6.934 0.888
5.973 5.180 6.578
8.960 6.584 4.764
5.973 3.423 3.243
2.987 3.412 -0.228
8.960 3.433 6.714
2.987 0.261 1.723
5.973 5.068 0.586
2.987 3.423 3.243
5.973 1.777 5.901
```

Properties
space-group type: No. 12
final energy: -53.8 eV per formula unit
energy relative to the elements: 0.216 eV/atom
density of states at the Fermi level: 20.19 states/eV per cell

4.
# NdSmEr

A relaxed structure of NdSmEr (PBE, Alexandria via LeMat-Bulk).

Geometry as POSCAR:
```
NdSmEr
1.0
-2.539 0.710 2.466
-2.208 -2.372 -1.591
5.141 -4.730 4.013
Nd Sm Er
1 1 1
Cartesian
1.836 -3.690 2.953
0.012 -0.025 0.020
-1.455 -2.677 1.915
```

Properties
space-group type: No. 107
final energy: -14.0 eV per formula unit
energy relative to the lowest polymorph listed for this composition: 5 meV per atom
energy relative to the elements: 0.023 eV/atom
density of states at the Fermi level: 4.32 states/eV per cell

5.
# Nd2Sm3Er3

A relaxed structure of Nd2Sm3Er3 (PBE, Alexandria via LeMat-Bulk).

Geometry as POSCAR:
```
Nd2Sm3Er3
1.0
-3.597 -3.613 3.728
4.268 -3.850 0.387
5.213 6.961 11.775
Nd Sm Er
4 6 6
Cartesian
4.781 0.211 13.692
2.412 1.034 5.156
3.472 -1.537 10.734
1.102 -0.714 2.198
2.154 -3.293 7.829
5.039 4.539 11.020
0.844 -5.042 4.870
3.729 2.790 8.061
-0.034 -1.639 5.533
5.917 1.136 10.357
1.284 0.118 8.465
1.996 -4.097 1.544
3.887 3.595 14.346
4.599 -0.621 7.425
3.286 -2.373 4.498
2.597 1.871 11.392
```

Properties
space-group type: No. 59
final energy: -37.2 eV per formula unit
energy relative to the lowest polymorph listed for this composition: 3 meV per atom
energy relative to the elements: 0.023 eV/atom
density of states at the Fermi level: 27.17 states/eV per cell

6.
# Nd4Sm4Er

A relaxed structure of Nd4Sm4Er (PBE, Alexandria via LeMat-Bulk).

Geometry as POSCAR:
```
Nd4Sm4Er
1.0
5.013 -0.006 1.188
1.861 7.191 3.307
0.418 1.992 9.390
Nd Sm Er
4 4 1
Cartesian
1.739 1.453 3.822
5.553 7.724 10.064
4.800 2.372 2.087
2.492 6.805 11.799
4.031 3.876 5.321
6.322 6.243 6.824
3.261 5.301 8.565
0.970 2.934 7.062
2.507 -0.003 0.594
```

Properties
space-group type: No. 2
final energy: -42.4 eV per formula unit
energy relative to the elements: 0.015 eV/atom
density of states at the Fermi level: 12.90 states/eV per cell

7.
# Nd2SmEr

A relaxed structure of Nd2SmEr (PBE, Alexandria via LeMat-Bulk).

Geometry as POSCAR:
```
Nd2SmEr
1.0
-3.781 0.093 -4.348
-5.656 0.077 1.101
-3.074 4.761 -1.044
Nd Sm Er
2 1 1
Cartesian
-3.128 1.233 -1.073
-9.383 3.698 -3.218
-6.255 2.465 -2.146
0.000 0.000 0.000
```

Properties
space-group type: No. 225
final energy: -18.3 eV per formula unit
energy relative to the lowest polymorph listed for this composition: 110 meV per atom
energy relative to the elements: 0.125 eV/atom
density of states at the Fermi level: 8.56 states/eV per cell

8.
# NdSmEr

A relaxed structure of NdSmEr (PBE, Alexandria via LeMat-Bulk).

Geometry as POSCAR:
```
NdSmEr
1.0
-2.926 3.854 -1.687
0.387 -2.629 -6.675
-3.247 -2.887 6.818
Nd Sm Er
2 2 2
Cartesian
-1.176 -2.947 -4.692
-4.610 1.285 3.148
-1.270 0.613 -4.181
-1.463 1.927 -0.844
-1.390 -1.639 -1.334
-4.397 -0.023 -0.209
```

Properties
space-group type: No. 12
final energy: -14.0 eV per formula unit
energy relative to the lowest polymorph listed for this composition: 0 meV per atom
energy relative to the elements: 0.017 eV/atom
density of states at the Fermi level: 8.42 states/eV per cell